Record 1
The following is a DFT calculation (PBE) of Ti2AlCo after structural relaxation.

Cell: 4.1162 4.1162 13.6725 Å, 90.00 90.00 90.00°
Fractional coordinates of all 16 atoms:
Ti1 0.0000 0.0000 0.1424
Ti2 0.0000 0.0000 0.8576
Ti3 0.0000 0.5000 0.0000
Ti4 0.0000 0.5000 0.5000
Ti5 0.5000 0.0000 0.0000
Ti6 0.5000 0.0000 0.5000
Ti7 0.5000 0.5000 0.3576
Ti8 0.5000 0.5000 0.6424
Al1 0.0000 0.0000 0.3559
Al2 0.0000 0.0000 0.6441
Al3 0.5000 0.5000 0.1441
Al4 0.5000 0.5000 0.8559
Co1 0.0000 0.5000 0.2500
Co2 0.0000 0.5000 0.7500
Co3 0.5000 0.0000 0.2500
Co4 0.5000 0.0000 0.7500

Values from the calculation:
N(E_F): 0.832 states/eV/atom
final energy: -113.01 eV/cell
space-group type: I4/mmm (139)
ΔH_f (0 K): -0.404 eV per atom
total magnetization: 0.090 μB per atom
crystal system: tetragonal

=====

Record 2
The following is a DFT calculation (PBE) of KSnTe after structural relaxation.

Cell: 5.3544 5.3544 4.4746 Å, 90.00 90.00 120.00°
Fractional coordinates of all 3 atoms:
K1 0.0000 0.0000 0.0000
Sn1 0.3333 0.6667 0.5000
Te1 0.6667 0.3333 0.5000

Values from the calculation:
N(E_F): 0.277 states/eV/atom
final energy: -9.42 eV/cell
space-group type: P-6m2 (187)
formation energy from raw total energies: -0.39 eV per atom
total magnetization: 0.000 μB per atom
crystal system: hexagonal
offset from the most stable computed form: 0 meV/atom

=====

Record 3
The following is a DFT calculation (PBE) of Pm2Dy3Y7 after structural relaxation.

Cell: 5.8166 3.6017 18.7714 Å, 90.00 93.57 90.00°
Fractional coordinates of all 12 atoms:
Pm1 0.2062 0.0000 0.2944
Pm2 0.7938 0.0000 0.7056
Dy1 0.0000 0.0000 0.0000
Dy2 0.2792 0.5000 0.6315
Dy3 0.7208 0.5000 0.3685
Y1 0.1813 0.5000 0.1425
Y2 0.2419 0.0000 0.4623
Y3 0.3151 0.0000 0.8229
Y4 0.5000 0.5000 0.0000
Y5 0.6849 0.0000 0.1771
Y6 0.7581 0.0000 0.5377
Y7 0.8187 0.5000 0.8575

Values from the calculation:
N(E_F): 1.280 states/eV/atom
final energy: -67.50 eV/cell
space-group type: P2/m (10)
ΔH_f (0 K): 0.088 eV per atom
total magnetization: 0.000 μB per atom
crystal system: monoclinic
offset from the most stable computed form: 0 meV/atom

=====

Record 4
The following is a DFT calculation (PBE) of OsCl after structural relaxation.

Cell: 2.8421 4.0636 13.5252 Å, 90.00 90.00 90.00°
Fractional coordinates of all 8 atoms:
Os1 0.0000 0.2500 0.1720
Os2 0.0000 0.7500 0.8280
Os3 0.5000 0.2500 0.3280
Os4 0.5000 0.7500 0.6720
Cl1 0.0000 0.2500 0.6241
Cl2 0.0000 0.7500 0.3759
Cl3 0.5000 0.2500 0.8759
Cl4 0.5000 0.7500 0.1241

Values from the calculation:
N(E_F): 1.163 states/eV/atom
final energy: -43.08 eV/cell
space-group type: Imma (74)
formation energy from raw total energies: 1.15 eV per atom
total magnetization: 0.000 μB per atom
crystal system: orthorhombic
offset from the most stable computed form: 1029 meV/atom

=====

Record 5
The following is a DFT calculation (PBE) of Be3Tl after structural relaxation.

Cell: 6.4726 3.7220 5.3823 Å, 90.00 110.14 90.00°
Fractional coordinates of all 8 atoms:
Be1 0.0000 0.0000 0.0000
Be2 0.1707 0.5000 0.0154
Be3 0.3293 0.0000 0.9846
Be4 0.5000 0.5000 0.0000
Be5 0.6707 0.0000 0.0154
Be6 0.8293 0.5000 0.9846
Tl1 0.0000 0.5000 0.5000
Tl2 0.5000 0.0000 0.5000

Values from the calculation:
N(E_F): 0.300 states/eV/atom
final energy: -24.24 eV/cell
space-group type: C2/m (12)
ΔH_f (0 K): 0.356 eV per atom
total magnetization: 0.000 μB per atom
crystal system: monoclinic
offset from the most stable computed form: 0 meV/atom

=====

Record 6
The following is a DFT calculation (PBE) of Zn2Ag5Au3 after structural relaxation.

Cell: 8.9597 8.9597 8.9597 Å, 105.07 86.13 143.85°
Fractional coordinates of all 20 atoms:
Zn1 0.1435 0.1146 0.2580
Zn2 0.3565 0.6146 0.9711
Zn3 0.6435 0.3854 0.0289
Zn4 0.8565 0.8854 0.7420
Ag1 0.1652 0.6285 0.7937
Ag2 0.2500 0.5009 0.2509
Ag3 0.2500 0.7500 0.5000
Ag4 0.2500 0.9991 0.7491
Ag5 0.3348 0.1285 0.4634
Ag6 0.6652 0.8715 0.5366
Ag7 0.7500 0.0009 0.2509
Ag8 0.7500 0.2500 0.5000
Ag9 0.7500 0.4991 0.7491
Ag10 0.8348 0.3715 0.2063
Au1 0.1885 0.3558 0.5443
Au2 0.2500 0.2500 0.0000
Au3 0.3115 0.8558 0.1673
Au4 0.6885 0.1442 0.8327
Au5 0.7500 0.7500 0.0000
Au6 0.8115 0.6442 0.4557

Values from the calculation:
N(E_F): 0.406 states/eV/atom
final energy: -50.72 eV/cell
space-group type: Ibam (72)
ΔH_f (0 K): 0.128 eV per atom
total magnetization: 0.000 μB per atom
crystal system: orthorhombic
offset from the most stable computed form: 123 meV/atom